1.
{
  "formula": "InRhO3",
  "functional": "PBE",
  "state": "relaxed",
  "lattice_angstrom": [[-2.1566, -0.5710, 3.2251], [3.1035, -1.5905, 1.7936], [1.0469, 3.5387, 1.3266]],
  "species": ["O", "O", "O", "In", "Rh"],
  "frac_coords": [[0.5000, 0.0000, 0.0000], [0.0000, 0.0000, 0.5000], [0.0000, 0.5000, 0.0000], [0.5000, 0.5000, 0.5000], [0.0000, 0.0000, 0.0000]],
  "e_tot_ev_per_atom": -5.52,
  "spacegroup": "No. 221"
}

---

2.
{
  "formula": "InRhO2",
  "functional": "PBE",
  "state": "relaxed",
  "lattice_angstrom": [[-4.9441, -4.6970, 0.3695], [-3.4936, -4.9308, 3.1820], [-5.6729, -2.6745, 2.7035]],
  "species": ["In", "O", "Rh", "O"],
  "frac_coords": [[0.0000, 0.0000, 0.0000], [0.8830, 0.8830, 0.8830], [0.5000, 0.5000, 0.5000], [0.1170, 0.1170, 0.1170]],
  "e_tot_ev_per_atom": -5.73,
  "spacegroup": "No. 166"
}

---

3.
{
  "formula": "In3RhO",
  "functional": "PBE",
  "state": "relaxed",
  "lattice_angstrom": [[4.5698, 0.0000, 0.0000], [0.0000, 4.5698, 0.0000], [0.0000, 0.0000, 4.5698]],
  "species": ["Rh", "O", "In", "In", "In"],
  "frac_coords": [[0.5000, 0.5000, 0.5000], [0.0000, 0.0000, 0.0000], [0.5000, 0.0000, 0.0000], [0.0000, 0.0000, 0.5000], [0.0000, 0.5000, 0.0000]],
  "relative_energy_mev_per_atom": 0,
  "spacegroup": "No. 221"
}

---

4.
{
  "formula": "In3RhO",
  "functional": "PBE",
  "state": "relaxed",
  "lattice_angstrom": [[-4.1814, -2.1165, 1.9312], [1.8129, -4.6001, -1.1160], [2.2186, -0.2299, 4.5517]],
  "species": ["O", "In", "In", "Rh", "In"],
  "frac_coords": [[0.5000, 0.5000, 0.5000], [0.0000, 0.5000, 0.0000], [0.0000, 0.0000, 0.5000], [0.0000, 0.0000, 0.0000], [0.5000, 0.0000, 0.0000]],
  "relative_energy_mev_per_atom": 156,
  "spacegroup": "No. 221"
}

---

5.
{
  "formula": "InRhO2",
  "functional": "PBE",
  "state": "relaxed",
  "lattice_angstrom": [[-5.1592, -3.2088, 2.5329], [-3.9395, -5.2548, 0.4435], [-2.6750, -5.0033, 3.3378]],
  "species": ["In", "Rh", "O", "O"],
  "frac_coords": [[0.5000, 0.5000, 0.5000], [0.0000, 0.0000, 0.0000], [0.1064, 0.1064, 0.1064], [0.8936, 0.8936, 0.8936]],
  "e_tot_ev_per_atom": -5.79,
  "spacegroup": "No. 166"
}

---

6.
{
  "formula": "InRh2O",
  "functional": "PBE",
  "state": "relaxed",
  "lattice_angstrom": [[0.0000, 3.0990, 3.0990], [3.0990, 0.0000, 3.0990], [3.0990, 3.0990, 0.0000]],
  "species": ["Rh", "Rh", "In", "O"],
  "frac_coords": [[0.2500, 0.2500, 0.2500], [0.7500, 0.7500, 0.7500], [0.5000, 0.5000, 0.5000], [0.0000, 0.0000, 0.0000]],
  "relative_energy_mev_per_atom": 471,
  "spacegroup": "No. 225"
}

---

7.
{
  "formula": "InRhSeO5",
  "functional": "PBE",
  "state": "relaxed",
  "lattice_angstrom": [[6.1482, -0.0637, -0.4518], [-1.8557, 5.8618, -0.4518], [-2.3397, -3.1604, 6.7731]],
  "species": ["O", "O", "Rh", "Rh", "In", "In", "O", "O", "O", "O", "Se", "O", "O", "O", "O", "Se"],
  "frac_coords": [[0.4034, 0.2000, 0.0637], [0.0878, 0.6299, 0.9213], [0.7396, 0.2604, 0.7500], [0.2604, 0.7396, 0.2500], [0.0000, 0.0000, 0.0000], [0.0000, 0.0000, 0.5000], [0.5966, 0.8000, 0.9363], [0.2000, 0.4034, 0.5637], [0.0663, 0.9337, 0.2500], [0.9337, 0.0663, 0.7500], [0.2862, 0.7138, 0.7500], [0.9122, 0.3701, 0.0787], [0.8000, 0.5966, 0.4363], [0.3701, 0.9122, 0.5787], [0.6299, 0.0878, 0.4213], [0.7138, 0.2862, 0.2500]],
  "e_tot_ev_per_atom": -5.54,
  "spacegroup": "No. 15"
}

---

8.
{
  "formula": "Sm2InRhO6",
  "functional": "PBE",
  "state": "relaxed",
  "lattice_angstrom": [[5.5275, 0.0000, -0.0907], [0.0000, 5.8978, 0.0000], [-0.0815, 0.0000, 7.9762]],
  "species": ["O", "Rh", "Rh", "O", "O", "Sm", "O", "O", "Sm", "Sm", "In", "O", "In", "O", "O", "Sm", "O", "O", "O", "O"],
  "frac_coords": [[0.3185, 0.6987, 0.4360], [0.0000, 0.5000, 0.0000], [0.5000, 0.0000, 0.5000], [0.3725, 0.9500, 0.7418], [0.6815, 0.3013, 0.5640], [0.0251, 0.9283, 0.2494], [0.1939, 0.1923, 0.4368], [0.6275, 0.0500, 0.2582], [0.9749, 0.0717, 0.7506], [0.4749, 0.4283, 0.2506], [0.0000, 0.5000, 0.5000], [0.8185, 0.8013, 0.9360], [0.5000, 0.0000, 0.0000], [0.8061, 0.8077, 0.5632], [0.1275, 0.4500, 0.7582], [0.5251, 0.5717, 0.7494], [0.8725, 0.5500, 0.2418], [0.6939, 0.3077, 0.9368], [0.3061, 0.6923, 0.0632], [0.1815, 0.1987, 0.0640]],
  "e_tot_ev_per_atom": -7.20,
  "spacegroup": "No. 14"
}

---

9.
{
  "formula": "Sr2InRh3O8",
  "functional": "PBE",
  "state": "relaxed",
  "lattice_angstrom": [[-2.7055, 4.9302, -3.0947], [-2.5206, -0.8696, -5.8390], [-6.8413, 0.0581, -0.5838]],
  "species": ["Rh", "Rh", "Rh", "O", "O", "O", "Sr", "O", "In", "O", "Sr", "O", "O", "O"],
  "frac_coords": [[0.4949, 0.9875, 0.0226], [0.4949, 0.4949, 0.0226], [0.9875, 0.4949, 0.0226], [0.2192, 0.2192, 0.8448], [0.2192, 0.7167, 0.8448], [0.2873, 0.7459, 0.2208], [0.1420, 0.1420, 0.5739], [0.7459, 0.2873, 0.2208], [0.9658, 0.9658, 0.1027], [0.7138, 0.7138, 0.8587], [0.4852, 0.4852, 0.5443], [0.7167, 0.2192, 0.8448], [0.2741, 0.2741, 0.1776], [0.7459, 0.7459, 0.2208]],
  "e_tot_ev_per_atom": -6.28,
  "spacegroup": "No. 160"
}

---

10.
{
  "formula": "Sr3InRhO6",
  "functional": "PBE",
  "state": "relaxed",
  "lattice_angstrom": [[-0.6784, -2.8517, -6.1555], [-1.8569, -5.8199, 3.0272], [-6.4766, 2.1250, -0.1444]],
  "species": ["Sr", "In", "O", "Sr", "Sr", "O", "O", "Sr", "In", "O", "O", "O", "O", "O", "Sr", "O", "Rh", "O", "O", "Rh", "O", "Sr"],
  "frac_coords": [[0.6187, 0.8813, 0.2500], [0.2500, 0.2500, 0.2500], [0.5945, 0.4599, 0.7898], [0.8813, 0.2500, 0.6187], [0.3813, 0.1187, 0.7500], [0.0401, 0.9055, 0.7102], [0.0945, 0.2898, 0.9599], [0.7500, 0.3813, 0.1187], [0.7500, 0.7500, 0.7500], [0.9055, 0.7102, 0.0401], [0.7102, 0.0401, 0.9055], [0.2102, 0.4055, 0.5401], [0.4055, 0.5401, 0.2102], [0.2898, 0.9599, 0.0945], [0.1187, 0.7500, 0.3813], [0.9599, 0.0945, 0.2898], [0.5000, 0.5000, 0.5000], [0.4599, 0.7898, 0.5945], [0.5401, 0.2102, 0.4055], [0.0000, 0.0000, 0.0000], [0.7898, 0.5945, 0.4599], [0.2500, 0.6187, 0.8813]],
  "e_tot_ev_per_atom": -6.19,
  "spacegroup": "No. 167"
}